The following is a PBE calculation of HgSbCl2 after structural relaxation, from the Alexandria database.

The structure belongs to space group Pmmm (No. 47); the cell edges are 3.1926, 3.8405 and 9.7931 Å and the angles 90.00°, 90.00° and 90.00°. The inequivalent atoms are Hg at (0.0000, 0.0000, 0.0000), Sb at (0.0000, 0.0000, 0.5000) and Cl at (0.5000, 0.5000, 0.3256).

Its formation energy from raw total energies is -0.169 eV/atom. The calculation puts the energy above the most stable polymorph in this dataset at 289 meV/atom. Its size of the total moment is 0.000 μB/atom. The value obtained for the theoretical density is 5.44 g cm⁻³.



The following is a PBE calculation of Hg4SbSeCl2 after structural relaxation, from the Alexandria database.

The structure belongs to space group C2/c (No. 15); the cell edges are 11.5137, 13.6745 and 8.0385 Å and the angles 90.00°, 133.97° and 90.00°. The inequivalent atoms are Hg at (0.0013, 0.2142, 0.0111), Hg at (0.2467, 0.4726, 0.4976), Sb at (0.0000, 0.0000, 0.0000), Se at (0.2500, 0.2500, 0.5000), Cl at (0.0000, 0.5000, 0.0000) and Cl at (0.2500, 0.2500, 0.0000).

Its formation energy from raw total energies is -0.173 eV/atom. Its size of the total moment is 0.000 μB/atom. The value obtained for the theoretical density is 7.83 g cm⁻³.



The following is a PBE calculation of HgSbSe2Cl after structural relaxation, from the Alexandria database.

The structure belongs to space group P2_1/m (No. 11); the cell edges are 7.1226, 4.1833 and 11.4496 Å and the angles 90.00°, 99.95° and 90.00°. The inequivalent atoms are Hg at (0.0168, 0.2500, 0.3411), Sb at (0.4486, 0.2500, 0.8399), Se at (0.1847, 0.2500, 0.6239), Se at (0.2636, 0.7500, 0.9286) and Cl at (0.3441, 0.2500, 0.2802).

Its formation energy from raw total energies is -0.333 eV/atom. Its size of the total moment is 0.000 μB/atom. The value obtained for the theoretical density is 5.10 g cm⁻³.



The following is a PBE calculation of HgSbSeCl after structural relaxation, from the Alexandria database.

The structure belongs to space group Cm (No. 8); the cell edges are 5.8048, 5.6618 and 7.8479 Å and the angles 90.00°, 107.76° and 90.00°. The inequivalent atoms are Hg at (0.0000, 0.0000, 0.0000), Sb at (0.4613, 0.5000, 0.6395), Se at (0.3926, 0.0000, 0.5940) and Cl at (0.2257, 0.5000, 0.1983).

Its formation energy from raw total energies is -0.290 eV/atom. Its size of the total moment is 0.000 μB/atom. The value obtained for the theoretical density is 5.91 g cm⁻³.